# VCrCu2 | Alexandria via LeMat-Bulk | PBE | optimized geometry
# Formation energy = 346 meV/atom
# Spin magnetization = 3.834 μB/cell
# DOS at the Fermi energy = 1.011 states/eV per atom
# DFT total energy = -6.39 eV per atom
# Crystal system = cubic
data_VCrCu2
_chemical_formula_sum 'V4 Cr4 Cu8'
_symmetry_space_group_name_H-M 'F m -3 m'
_symmetry_Int_Tables_number 225
_symmetry_space_group_name_Hall '-F 4 2 3'
_cell_length_a 5.977
_cell_length_b 5.977
_cell_length_c 5.977
_cell_angle_alpha 90.00
_cell_angle_beta 90.00
_cell_angle_gamma 90.00
loop_
_atom_site_label
_atom_site_fract_x
_atom_site_fract_y
_atom_site_fract_z
V1 0.000 0.000 0.000
Cr1 0.000 0.000 0.500
Cu1 0.250 0.250 0.250